(1)
An optimized crystal structure of SiTcAu2. Source: the Alexandria database, functional GGA-PBEsol.

Cell: 2.8661 2.8661 25.8106 Å, 90.00 90.00 120.00°
Closest atoms and distances in Å follow each position.
Fractional coordinates of all 12 atoms:
Si  0.0000  0.0000  0.0000  3 Tc 2.43, 3 Au 2.65
Si  0.3333  0.6667  0.6667  3 Tc 2.43, 3 Au 2.65
Si  0.6667  0.3333  0.3333  3 Tc 2.43, 3 Au 2.65
Tc  0.0000  0.0000  0.2645  3 Si 2.43
Tc  0.3333  0.6667  0.9312  3 Si 2.43
Tc  0.6667  0.3333  0.5978  3 Si 2.43
Au  0.0000  0.0000  0.5084  3 Tc 2.84, 9 Au 2.87-2.95
Au  0.0000  0.0000  0.7471  3 Si 2.65, 9 Au 2.87-2.95
Au  0.3333  0.6667  0.1750  3 Tc 2.84, 9 Au 2.87-2.95
Au  0.3333  0.6667  0.4137  3 Si 2.65, 9 Au 2.87-2.95
Au  0.6667  0.3333  0.0804  3 Si 2.65, 9 Au 2.87-2.95
Au  0.6667  0.3333  0.8417  3 Tc 2.84, 9 Au 2.87-2.95

Summary:
Formation energy (no corrections)   0.08 eV/f.u.
Volume   15.30 Å³ per atom

(2)
An optimized crystal structure of SiTc2Au. Source: the Alexandria database, functional GGA-PBEsol.

Cell: 4.3508 4.3508 2.9868 Å, 90.00 90.00 90.00°
Closest atoms and distances in Å follow each position.
Fractional coordinates of all 4 atoms:
Si  0.0000  0.0000  0.0000  8 Tc 2.64
Tc  0.0000  0.5000  0.5000  4 Au 2.64, 4 Si 2.64
Tc  0.5000  0.0000  0.5000  4 Au 2.64, 4 Si 2.64
Au  0.5000  0.5000  0.0000  8 Tc 2.64

Summary:
Formation energy (no corrections)   0.19 eV/f.u.
Volume   14.13 Å³ per atom

(3)
An optimized crystal structure of SiTcAu2. Source: the Alexandria database, functional GGA-PBEsol.

Cell: 3.7215 2.8799 11.5004 Å, 90.00 90.00 90.00°
Closest atoms and distances in Å follow each position.
Fractional coordinates of all 8 atoms:
Si  0.0000  0.0000  0.0000  4 Tc 2.47, 3 Au 2.51-2.54
Si  0.0000  0.5000  0.5000  4 Tc 2.47, 3 Au 2.51-2.54
Tc  0.5000  0.0000  0.4336  4 Si 2.47
Tc  0.5000  0.5000  0.9336  4 Si 2.47
Au  0.0000  0.0000  0.7820  1 Si 2.51, 4 Au 2.80
Au  0.0000  0.5000  0.2820  1 Si 2.51, 4 Au 2.80
Au  0.5000  0.0000  0.1502  2 Si 2.54, 4 Au 2.80
Au  0.5000  0.5000  0.6502  2 Si 2.54, 4 Au 2.80

Summary:
Formation energy (no corrections)   -0.16 eV/f.u.
Volume   15.41 Å³ per atom

(4)
An optimized crystal structure of SiTcAu2. Source: the Alexandria database, functional GGA-PBEsol.

Cell: 3.8027 3.8027 4.1970 Å, 90.00 90.00 90.00°
Closest atoms and distances in Å follow each position.
Fractional coordinates of all 4 atoms:
Si  0.0000  0.0000  0.0000  4 Tc 2.69, 8 Au 2.83
Tc  0.5000  0.5000  0.0000  4 Si 2.69, 8 Au 2.83
Au  0.0000  0.5000  0.5000  4 Au 2.69, 4 Tc 2.83, 4 Si 2.83
Au  0.5000  0.0000  0.5000  4 Au 2.69, 4 Tc 2.83, 4 Si 2.83

Summary:
Formation energy (no corrections)   0.68 eV/f.u.
Volume   15.17 Å³ per atom

(5)
An optimized crystal structure of SiTc2Au. Source: the Alexandria database, functional GGA-PBEsol.

Cell: 2.8450 3.8870 5.3465 Å, 90.00 102.59 90.00°
Closest atoms and distances in Å follow each position.
Fractional coordinates of all 4 atoms:
Si  0.0000  0.0000  0.0000  4 Tc 2.41, 2 Au 2.67
Tc  0.3847  0.5000  0.2204  2 Si 2.41, 1 Tc 2.58
Tc  0.6153  0.5000  0.7796  2 Si 2.41, 1 Tc 2.58
Au  0.0000  0.0000  0.5000  2 Si 2.67, 8 Tc 2.81-2.82, 2 Au 2.85

Summary:
Formation energy (no corrections)   0.14 eV/f.u.
Volume   14.43 Å³ per atom

(6)
An optimized crystal structure of SiTc2Au. Source: the Alexandria database, functional GGA-PBEsol.

Cell: 2.8683 3.6976 5.4478 Å, 90.00 90.00 90.00°
Closest atoms and distances in Å follow each position.
Fractional coordinates of all 4 atoms:
Si  0.0000  0.0000  0.0000  5 Tc 2.52-2.71, 4 Au 2.71
Tc  0.0000  0.0000  0.4627  1 Si 2.52, 4 Tc 2.61, 4 Au 2.81
Tc  0.5000  0.5000  0.2493  6 Tc 2.61-2.87, 4 Si 2.71, 2 Au 2.72-2.73
Au  0.5000  0.5000  0.7488  4 Si 2.71, 6 Tc 2.72-2.81, 2 Au 2.87

Summary:
Formation energy (no corrections)   0.27 eV/f.u.
Volume   14.45 Å³ per atom

(7)
An optimized crystal structure of SiTcAu2. Source: the Alexandria database, functional GGA-PBEsol.

Cell: 3.0966 4.4457 8.8952 Å, 90.00 90.00 90.00°
Closest atoms and distances in Å follow each position.
Fractional coordinates of all 8 atoms:
Si  0.0000  0.0000  0.0000  2 Tc 2.38, 2 Au 2.52
Si  0.5000  0.5000  0.5000  2 Tc 2.38, 2 Au 2.52
Tc  0.0000  0.5000  0.7028  2 Si 2.38
Tc  0.5000  0.0000  0.2028  2 Si 2.38
Au  0.0000  0.0000  0.4913  4 Si 2.71, 4 Tc 2.91-3.00, 4 Au 2.93-2.97
Au  0.0000  0.5000  0.2759  2 Si 2.52, 4 Tc 2.79
Au  0.5000  0.0000  0.7759  2 Si 2.52, 4 Tc 2.79
Au  0.5000  0.5000  0.9913  4 Si 2.71, 4 Tc 2.91-3.00, 4 Au 2.93-2.97

Summary:
Formation energy (no corrections)   0.63 eV/f.u.
Volume   15.31 Å³ per atom

(8)
An optimized crystal structure of SiTcAu2. Source: the Alexandria database, functional GGA-PBEsol.

Cell: 5.2782 9.9754 2.8134 Å, 90.00 121.99 90.00°
Closest atoms and distances in Å follow each position.
Fractional coordinates of all 8 atoms:
Si  0.0000  0.0000  0.0000  4 Tc 2.64-2.65, 2 Si 2.81, 4 Au 2.82
Si  0.5000  0.5000  0.0000  4 Tc 2.64-2.65, 2 Si 2.81, 4 Au 2.82
Tc  0.0000  0.5000  0.0000  4 Si 2.64-2.65, 2 Tc 2.81, 4 Au 2.82
Tc  0.5000  0.0000  0.0000  4 Si 2.64-2.65, 2 Tc 2.81, 4 Au 2.82
Au  0.2500  0.2500  0.5000  6 Au 2.64-2.81, 2 Tc 2.82, 2 Si 2.82
Au  0.2500  0.7500  0.5000  6 Au 2.64-2.81, 2 Tc 2.82, 2 Si 2.82
Au  0.7500  0.2500  0.5000  6 Au 2.64-2.81, 2 Tc 2.82, 2 Si 2.82
Au  0.7500  0.7500  0.5000  6 Au 2.64-2.81, 2 Tc 2.82, 2 Si 2.82

Summary:
Formation energy (no corrections)   0.80 eV/f.u.
Volume   15.71 Å³ per atom